1.
# ZnHgMoRh2 (PBE, optimized geometry)
# - Energy of formation from the pure elements: 1.20 eV/atom
# - Electronic total energy: -4.222 eV/atom
data_ZnHgMoRh2
_chemical_formula_sum 'Zn1 Hg1 Mo1 Rh2'
_cell_length_a 4.574
_cell_length_b 4.574
_cell_length_c 4.691
_cell_angle_alpha 90.00
_cell_angle_beta 90.00
_cell_angle_gamma 90.00
_space_group_name_H-M_alt 'P 4/m m m'
_space_group_IT_number 123
_space_group_name_Hall '-P 4 2'
loop_
_atom_site_label
_atom_site_type_symbol
_atom_site_fract_x
_atom_site_fract_y
_atom_site_fract_z
Zn1 Zn 0.000 0.000 0.000
Hg1 Hg 0.000 0.000 0.500
Mo1 Mo 0.500 0.500 0.500
Rh1 Rh 0.000 0.500 0.000

2.
# Dy2AlCuS5 (PBE, optimized geometry)
# - Electronic total energy: -5.649 eV/atom
# - Uncorrected formation energy: -1.46 eV per atom
data_Dy2AlCuS5
_chemical_formula_sum 'Dy8 Al4 Cu4 S20'
_cell_length_a 3.780
_cell_length_b 17.624
_cell_length_c 10.717
_cell_angle_alpha 90.00
_cell_angle_beta 90.00
_cell_angle_gamma 90.00
_space_group_name_H-M_alt 'C m c 21'
_space_group_IT_number 36
_space_group_name_Hall 'C 2c -2'
loop_
_atom_site_label
_atom_site_type_symbol
_atom_site_fract_x
_atom_site_fract_y
_atom_site_fract_z
Dy1 Dy 0.000 0.104 0.000
Dy2 Dy 0.000 0.114 0.620
Al1 Al 0.000 0.407 0.794
Cu1 Cu 0.000 0.253 0.439
S1 S 0.000 0.039 0.380
S2 S 0.000 0.315 0.644
S3 S 0.000 0.317 0.964
S4 S 0.000 0.357 0.314
S5 S 0.000 0.494 0.616

3.
# YOsO5 (PBE, optimized geometry)
# - Electronic total energy: -7.919 eV/atom
# - Uncorrected formation energy: -1.85 eV per atom
data_YOsO5
_chemical_formula_sum 'Y4 Os4 O20'
_cell_length_a 9.019
_cell_length_b 6.444
_cell_length_c 7.519
_cell_angle_alpha 90.00
_cell_angle_beta 114.64
_cell_angle_gamma 90.00
_space_group_name_H-M_alt 'C 1 2/c 1'
_space_group_IT_number 15
_space_group_name_Hall '-C 2yc'
loop_
_atom_site_label
_atom_site_type_symbol
_atom_site_fract_x
_atom_site_fract_y
_atom_site_fract_z
Y1 Y 0.000 0.045 0.250
Os1 Os 0.000 0.500 0.000
O1 O 0.000 0.411 0.250
O2 O 0.013 0.206 0.965
O3 O 0.220 0.483 0.614

4.
# Rb2AgRh (PBE, optimized geometry)
# - Energy of formation from the pure elements: 0.85 eV/atom
# - Electronic total energy: -2.182 eV/atom
# - Energy above the most stable polymorph in this dataset: 50.5 meV/atom
data_Rb2AgRh
_chemical_formula_sum 'Rb8 Ag4 Rh4'
_cell_length_a 4.564
_cell_length_b 4.564
_cell_length_c 22.501
_cell_angle_alpha 90.00
_cell_angle_beta 90.00
_cell_angle_gamma 90.00
_space_group_name_H-M_alt 'I -4 2 d'
_space_group_IT_number 122
_space_group_name_Hall 'I -4 2bw'
loop_
_atom_site_label
_atom_site_type_symbol
_atom_site_fract_x
_atom_site_fract_y
_atom_site_fract_z
Rb1 Rb 0.244 0.250 0.125
Ag1 Ag 0.000 0.000 0.500
Rh1 Rh 0.000 0.000 0.000